Entry 1:
# Pr3Ga2BRu3

A relaxed structure of Pr3Ga2BRu3 (GGA-PBE, Alexandria via LeMat-Bulk).

The calculation puts the calculated volume at 176 Å³ per cell. The value obtained for the spin magnetization is 0.00 μB/f.u. Its formation energy is -227 meV per atom. The calculation puts the total DFT energy (no corrections) at -6.326 eV per atom. The density of states at the Fermi level comes out at 6.73 states/eV/f.u.

The space group is P-62m (No. 189) and the conventional cell measures 7.5024, 7.5024 and 3.6137 Å, with angles of 90.00, 90.00 and 120.00 degrees. The inequivalent atoms are Pr at (0.0000, 0.3631, 0.0000), Ga at (0.3333, 0.6667, 0.5000), B at (0.0000, 0.0000, 0.0000) and Ru at (0.0000, 0.7840, 0.5000).

---

Entry 2:
# PrGa2Tc2B

A relaxed structure of PrGa2Tc2B (GGA-PBE, Alexandria via LeMat-Bulk).

The calculation puts the calculated volume at 102 Å³ per cell. The value obtained for the spin magnetization is 0.00 μB/f.u. Its formation energy is -469 meV per atom. The calculation puts the total DFT energy (no corrections) at -6.843 eV per atom. The density of states at the Fermi level comes out at 3.41 states/eV/f.u.

The space group is P4/mmm (No. 123) and the conventional cell measures 4.2526, 4.2526 and 5.6270 Å, with angles of 90.00, 90.00 and 90.00 degrees. The inequivalent atoms are Pr at (0.0000, 0.0000, 0.0000), Ga at (0.5000, 0.5000, 0.2303), Tc at (0.0000, 0.5000, 0.5000) and B at (0.0000, 0.0000, 0.5000).

---

Entry 3:
# GaBPt

A relaxed structure of GaBPt (GGA-PBE, Alexandria via LeMat-Bulk).

The calculation puts the calculated volume at 88 Å³ per cell. The value obtained for the spin magnetization is 0.00 μB/f.u. Its formation energy is -126 meV per atom. The calculation puts the total DFT energy (no corrections) at -5.375 eV per atom. The density of states at the Fermi level comes out at 0.74 states/eV/f.u.

The space group is P-1 (No. 2) and the conventional cell measures 3.0087, 3.9995 and 8.0538 Å, with angles of 78.75, 79.73 and 68.12 degrees. The inequivalent atoms are Ga at (0.0028, 0.1481, 0.3514), B at (0.3067, 0.9671, 0.9156) and Pt at (0.3614, 0.6204, 0.1602).

---

Entry 4:
# Ga4BPt2

A relaxed structure of Ga4BPt2 (GGA-PBE, Alexandria via LeMat-Bulk).

The calculation puts the calculated volume at 241 Å³ per cell. The value obtained for the spin magnetization is 0.00 μB/f.u. Its formation energy is 58 meV per atom. The calculation puts the total DFT energy (no corrections) at -4.352 eV per atom. The density of states at the Fermi level comes out at 2.55 states/eV/f.u.

The space group is I4/mmm (No. 139) and the conventional cell measures 4.5180, 4.5180 and 11.8241 Å, with angles of 90.00, 90.00 and 90.00 degrees. The inequivalent atoms are Ga at (0.0000, 0.0000, 0.1787), Ga at (0.0000, 0.5000, 0.0000), B at (0.0000, 0.0000, 0.0000) and Pt at (0.0000, 0.0000, 0.3827).

---

Entry 5:
# Pu2GaBPt6

A relaxed structure of Pu2GaBPt6 (GGA-PBE, Alexandria via LeMat-Bulk).

The calculation puts the calculated volume at 365 Å³ per cell. The value obtained for the spin magnetization is 10.41 μB/f.u. Its formation energy is -669 meV per atom. The calculation puts the total DFT energy (no corrections) at -8.130 eV per atom. The density of states at the Fermi level comes out at 26.92 states/eV/f.u.

The space group is Pmmn (No. 59, origin choice 2) and the conventional cell measures 5.6885, 8.6484 and 7.4228 Å, with angles of 90.00, 90.00 and 90.00 degrees. The inequivalent atoms are Pu at (0.2500, 0.0362, 0.2122), Ga at (0.2500, 0.7500, 0.8142), B at (0.2500, 0.2500, 0.6981), Pt at (0.0012, 0.2500, 0.9093), Pt at (0.0098, 0.7500, 0.5062) and Pt at (0.2500, 0.0045, 0.6405).

---

Entry 6:
# Ga2BRuPt

A relaxed structure of Ga2BRuPt (GGA-PBE, Alexandria via LeMat-Bulk).

The calculation puts the calculated volume at 108 Å³ per cell. The value obtained for the spin magnetization is 0.00 μB/f.u. Its formation energy is 1240 meV per atom. The calculation puts the total DFT energy (no corrections) at -4.369 eV per atom. The density of states at the Fermi level comes out at 2.70 states/eV/f.u.

The space group is P4/mmm (No. 123) and the conventional cell measures 4.7123, 4.7123 and 4.8500 Å, with angles of 90.00, 90.00 and 90.00 degrees. The inequivalent atoms are Ga at (0.0000, 0.5000, 0.0000), B at (0.0000, 0.0000, 0.5000), Ru at (0.5000, 0.5000, 0.0000) and Pt at (0.5000, 0.5000, 0.5000).

---

Entry 7:
# GaSiB2Pt

A relaxed structure of GaSiB2Pt (GGA-PBE, Alexandria via LeMat-Bulk).

The calculation puts the calculated volume at 76 Å³ per cell. The value obtained for the spin magnetization is 0.00 μB/f.u. The calculation puts the total DFT energy (no corrections) at -4.432 eV per atom. The calculation puts the formation energy from raw total energies at 5.68 eV per formula unit. The density of states at the Fermi level comes out at 2.18 states/eV/f.u.

The space group is P4/mmm (No. 123) and the conventional cell measures 3.8687, 3.8687 and 5.0556 Å, with angles of 90.00, 90.00 and 90.00 degrees. The inequivalent atoms are Ga at (0.0000, 0.0000, 0.0000), Si at (0.0000, 0.0000, 0.5000), B at (0.0000, 0.5000, 0.5000) and Pt at (0.5000, 0.5000, 0.0000).

---

Entry 8:
# Sm2GaBPt6

A relaxed structure of Sm2GaBPt6 (GGA-PBE, Alexandria via LeMat-Bulk).

The calculation puts the calculated volume at 366 Å³ per cell. The value obtained for the spin magnetization is 0.00 μB/f.u. Its formation energy is -898 meV per atom. The calculation puts the total DFT energy (no corrections) at -6.437 eV per atom. The density of states at the Fermi level comes out at 3.34 states/eV/f.u.

The space group is Pmmn (No. 59, origin choice 2) and the conventional cell measures 5.7112, 8.7006 and 7.3740 Å, with angles of 90.00, 90.00 and 90.00 degrees. The inequivalent atoms are Sm at (0.2500, 0.0337, 0.2144), Ga at (0.2500, 0.7500, 0.8169), B at (0.2500, 0.2500, 0.6940), Pt at (0.0025, 0.2500, 0.9073), Pt at (0.0106, 0.7500, 0.5101) and Pt at (0.2500, 0.0054, 0.6432).

---

What is the calculated volume in the third record?
88 Å³ per cell